A plane-wave DFT calculation with meta-GGA SCAN was carried out for a crystal of LaBeAs2 relaxed with PBEsol.

Structure (POSCAR):
```
LaBeAs2
1.0
-3.486 0.540 -0.734
0.148 -3.129 1.780
-0.683 3.118 5.536
Be La As
1 1 2
direct
0.500 0.500 0.500
0.500 0.500 0.000
0.000 0.000 0.304
0.000 0.000 0.696
```

Summary:
* formation energy from the elements: -7.569 kcal/mol of atoms
* crystal system: orthorhombic



A plane-wave DFT calculation with meta-GGA SCAN was carried out for a crystal of TlZnRu2 relaxed with PBEsol.

Structure (POSCAR):
```
TlZnRu2
1.0
2.833 0.003 0.000
-0.333 4.928 0.000
-1.250 -2.466 4.456
Ru Tl Zn
2 1 1
direct
0.000 0.000 0.500
0.500 0.500 0.500
0.500 0.000 0.000
0.000 0.500 0.000
```

Summary:
* formation energy from the elements: 12.970 kcal/mol of atoms
* crystal system: monoclinic



A plane-wave DFT calculation with meta-GGA SCAN was carried out for a crystal of Li4Cr2TeWO12 relaxed with PBEsol.

Structure (POSCAR):
```
Li4Cr2TeWO12
1.0
5.008 -0.005 0.000
0.010 5.252 0.008
0.010 0.462 7.244
Cr Li Te O W
2 4 1 12 1
direct
0.498 0.494 0.002
0.000 0.000 0.495
0.995 0.424 0.716
0.504 0.932 0.211
0.500 0.930 0.717
0.002 0.432 0.213
0.500 0.500 0.501
0.629 0.518 0.250
0.318 0.828 0.444
0.371 0.519 0.754
0.698 0.197 0.576
0.177 0.323 0.444
0.115 0.014 0.751
0.686 0.815 0.952
0.890 0.010 0.257
0.306 0.206 0.062
0.199 0.702 0.063
0.807 0.701 0.574
0.806 0.317 0.953
0.999 0.996 0.995
```

Summary:
* formation energy from raw total energies: -2.06 eV per atom
* crystal system: triclinic



A plane-wave DFT calculation with meta-GGA SCAN was carried out for a crystal of AgBiTeN2 relaxed with PBEsol.

Structure (POSCAR):
```
AgBiTeN2
1.0
4.277 0.000 0.000
0.000 4.277 0.000
0.000 0.000 6.268
Te N Ag Bi
1 2 1 1
direct
0.000 0.000 0.500
0.000 0.500 0.000
0.500 0.000 0.000
0.500 0.500 0.500
0.000 0.000 0.000
```

Summary:
* formation energy from raw total energies: 1.59 eV per atom
* crystal system: tetragonal



A plane-wave DFT calculation with meta-GGA SCAN was carried out for a crystal of Ba2CoNiO relaxed with PBEsol.

Structure (POSCAR):
```
Ba2CoNiO
1.0
4.181 0.000 0.000
0.000 5.559 0.000
0.000 0.000 5.559
Co Ni O Ba
1 1 1 2
direct
0.500 0.000 0.000
0.000 0.000 0.000
0.500 0.500 0.500
0.000 0.000 0.500
0.000 0.500 0.000
```

Summary:
* formation energy from raw total energies: -0.07 eV per atom
* crystal system: tetragonal



A plane-wave DFT calculation with meta-GGA SCAN was carried out for a crystal of K2CrIn relaxed with PBEsol.

Structure (POSCAR):
```
K2CrIn
1.0
-4.569 0.141 0.658
-0.463 -3.935 -2.371
0.667 -3.294 5.336
Cr In K
1 1 2
direct
0.500 0.500 0.000
0.500 0.500 0.500
0.000 0.000 0.751
0.000 0.000 0.249
```

Summary:
* formation energy from the elements: 9.602 kcal/mol of atoms
* crystal system: tetragonal



A plane-wave DFT calculation with meta-GGA SCAN was carried out for a crystal of K2NiPt relaxed with PBEsol.

Structure (POSCAR):
```
K2NiPt
1.0
2.867 0.000 0.000
0.000 2.867 0.000
0.000 0.000 9.923
Pt K Ni
1 2 1
direct
0.500 0.500 0.500
0.000 0.000 0.251
0.000 0.000 0.749
0.500 0.500 0.000
```

Summary:
* formation energy from the elements: 13.206 kcal/mol of atoms
* crystal system: tetragonal



A plane-wave DFT calculation with meta-GGA SCAN was carried out for a crystal of Ag2SnSe3 relaxed with PBEsol.

Structure (POSCAR):
```
Ag2SnSe3
1.0
7.306 0.010 -0.005
-3.625 6.343 -0.005
-1.268 -2.189 27.720
Sn Ag Se
8 16 24
direct
0.329 0.165 0.020
0.789 0.964 0.394
0.557 0.708 0.644
0.274 0.761 0.770
0.964 0.789 0.894
0.708 0.557 0.144
0.761 0.274 0.270
0.165 0.329 0.520
0.091 0.900 0.262
0.027 0.530 0.016
0.440 0.594 0.266
0.467 0.288 0.387
0.288 0.467 0.887
0.629 0.123 0.892
0.062 0.230 0.140
0.891 0.376 0.639
0.594 0.440 0.766
0.900 0.091 0.762
0.846 0.694 0.513
0.376 0.891 0.139
0.530 0.027 0.516
0.123 0.629 0.392
0.230 0.062 0.640
0.694 0.846 0.013
0.112 0.596 0.299
0.149 0.311 0.424
0.195 0.019 0.547
0.311 0.149 0.924
0.393 0.574 0.173
0.256 0.424 0.795
0.862 0.373 0.547
0.424 0.256 0.295
0.019 0.195 0.047
0.468 0.970 0.423
0.574 0.393 0.673
0.051 0.895 0.170
0.782 0.943 0.299
0.640 0.798 0.920
0.729 0.227 0.174
0.516 0.687 0.549
0.373 0.862 0.047
0.943 0.782 0.799
0.687 0.516 0.049
0.227 0.729 0.674
0.895 0.051 0.670
0.596 0.112 0.799
0.970 0.468 0.923
0.798 0.640 0.420
```

Summary:
* formation energy from raw total energies: -0.23 eV per atom
* crystal system: monoclinic



A plane-wave DFT calculation with meta-GGA SCAN was carried out for a crystal of KMg6Ti relaxed with PBEsol.

Structure (POSCAR):
```
KMg6Ti
1.0
4.413 0.000 0.000
0.000 6.690 0.000
0.000 0.000 6.690
Mg K Ti
6 1 1
direct
0.000 0.721 0.279
0.000 0.279 0.279
0.000 0.721 0.721
0.500 0.000 0.500
0.500 0.500 0.000
0.000 0.279 0.721
0.500 0.000 0.000
0.500 0.500 0.500
```

Summary:
* formation energy from the elements: 5.162 kcal/mol of atoms
* crystal system: tetragonal



A plane-wave DFT calculation with meta-GGA SCAN was carried out for a crystal of GaAsPb2 relaxed with PBEsol.

Structure (POSCAR):
```
GaAsPb2
1.0
5.175 0.000 0.000
2.587 4.482 0.000
2.587 1.494 4.225
Pb As Ga
2 1 1
direct
0.250 0.250 0.250
0.750 0.750 0.750
0.500 0.500 0.500
0.000 0.000 0.000
```

Summary:
* formation energy from the elements: 5.455 kcal/mol of atoms
* crystal system: cubic



A plane-wave DFT calculation with meta-GGA SCAN was carried out for a crystal of MnP2Br relaxed with PBEsol.

Structure (POSCAR):
```
MnP2Br
1.0
3.494 0.000 0.000
0.000 3.494 0.000
0.000 0.000 6.142
P Br Mn
2 1 1
direct
0.500 0.000 0.000
0.000 0.500 0.000
0.500 0.500 0.500
0.000 0.000 0.500
```

Summary:
* formation energy from raw total energies: 0.25 eV per atom
* crystal system: tetragonal



A plane-wave DFT calculation with meta-GGA SCAN was carried out for a crystal of ReIBr3 relaxed with PBEsol.

Structure (POSCAR):
```
ReIBr3
1.0
-1.459 4.075 -2.517
-4.686 -0.672 1.630
0.989 2.831 4.010
I Br Re
1 3 1
direct
0.500 0.500 0.500
0.500 0.000 0.000
0.000 0.000 0.500
0.000 0.500 0.000
0.000 0.000 0.000
```

Summary:
* formation energy from raw total energies: 0.48 eV per atom
* crystal system: cubic



A plane-wave DFT calculation with meta-GGA SCAN was carried out for a crystal of LaNiMo2 relaxed with PBEsol.

Structure (POSCAR):
```
LaNiMo2
1.0
-1.638 -2.145 1.664
3.312 -2.676 -0.771
1.440 3.996 3.839
Ni Mo La
1 2 1
direct
0.500 0.000 0.000
0.000 0.000 0.500
0.500 0.500 0.500
0.000 0.500 0.000
```

Summary:
* formation energy from the elements: 14.418 kcal/mol of atoms
* crystal system: monoclinic



A plane-wave DFT calculation with meta-GGA SCAN was carried out for a crystal of Mn3NiO8 relaxed with PBEsol.

Structure (POSCAR):
```
Mn3NiO8
1.0
7.967 0.000 0.000
0.000 7.967 0.000
0.000 0.000 7.967
Mn O Ni
12 32 4
direct
0.125 0.373 0.877
0.873 0.623 0.875
0.877 0.125 0.373
0.377 0.375 0.627
0.623 0.875 0.873
0.375 0.627 0.377
0.123 0.625 0.127
0.625 0.127 0.123
0.627 0.377 0.375
0.875 0.873 0.623
0.127 0.123 0.625
0.373 0.877 0.125
0.111 0.611 0.889
0.614 0.390 0.612
0.888 0.386 0.890
0.886 0.610 0.112
0.636 0.638 0.860
0.388 0.114 0.110
0.136 0.862 0.140
0.139 0.361 0.639
0.138 0.640 0.364
0.861 0.861 0.861
0.864 0.362 0.360
0.860 0.636 0.638
0.110 0.388 0.114
0.140 0.136 0.862
0.386 0.890 0.888
0.862 0.140 0.136
0.610 0.112 0.886
0.360 0.864 0.362
0.638 0.860 0.636
0.114 0.110 0.388
0.112 0.886 0.610
0.890 0.888 0.386
0.889 0.111 0.611
0.362 0.360 0.864
0.390 0.612 0.614
0.611 0.889 0.111
0.361 0.639 0.139
0.389 0.389 0.389
0.612 0.614 0.390
0.640 0.364 0.138
0.639 0.139 0.361
0.364 0.138 0.640
0.125 0.875 0.375
0.625 0.625 0.625
0.875 0.375 0.125
0.375 0.125 0.875
```

Summary:
* formation energy from raw total energies: -1.76 eV per atom
* crystal system: cubic



A plane-wave DFT calculation with meta-GGA SCAN was carried out for a crystal of LaVSb3 relaxed with PBEsol.

Structure (POSCAR):
```
LaVSb3
1.0
5.958 0.000 0.000
0.000 6.258 0.000
0.000 0.000 13.271
Sb La V
12 4 4
direct
0.750 0.502 0.786
0.250 0.604 0.935
0.750 0.396 0.065
0.250 0.998 0.786
0.000 0.750 0.499
0.250 0.104 0.065
0.750 0.896 0.935
0.250 0.498 0.214
0.000 0.250 0.501
0.500 0.250 0.501
0.500 0.750 0.499
0.750 0.002 0.214
0.750 0.500 0.309
0.750 0.000 0.691
0.250 0.000 0.309
0.250 0.500 0.691
0.000 0.750 0.092
0.500 0.750 0.092
0.500 0.250 0.908
0.000 0.250 0.908
```

Summary:
* formation energy from raw total energies: -0.66 eV per atom
* crystal system: orthorhombic



A plane-wave DFT calculation with meta-GGA SCAN was carried out for a crystal of Y6Al2SiS14 relaxed with PBEsol.

Structure (POSCAR):
```
Y6Al2SiS14
1.0
5.970 0.000 0.000
0.000 9.712 0.000
0.000 -4.856 8.410
S Al Y Si
14 2 6 1
direct
0.428 0.090 0.569
0.428 0.479 0.910
0.703 0.000 0.000
0.206 0.858 0.089
0.428 0.431 0.521
0.713 0.812 0.236
0.184 0.667 0.333
0.206 0.911 0.769
0.894 0.198 0.431
0.713 0.764 0.576
0.206 0.231 0.142
0.894 0.569 0.767
0.713 0.424 0.188
0.894 0.233 0.802
0.558 0.667 0.333
0.661 0.333 0.667
0.484 0.189 0.890
0.972 0.551 0.036
0.484 0.701 0.811
0.972 0.964 0.516
0.972 0.484 0.449
0.484 0.110 0.299
0.061 0.000 0.000
```

Summary:
* formation energy from raw total energies: -1.96 eV per atom
* crystal system: trigonal



A plane-wave DFT calculation with meta-GGA SCAN was carried out for a crystal of CeAl20Cr2 relaxed with PBEsol.

Structure (POSCAR):
```
CeAl20Cr2
1.0
10.134 0.000 0.000
5.067 8.776 0.000
5.067 2.925 8.274
Al Cr Ce
40 4 2
direct
0.364 0.636 0.636
0.614 0.886 0.614
0.334 0.068 0.799
0.886 0.886 0.614
0.182 0.451 0.916
0.334 0.799 0.799
0.799 0.068 0.334
0.799 0.068 0.799
0.799 0.334 0.068
0.068 0.799 0.799
0.364 0.364 0.636
0.182 0.916 0.451
0.886 0.614 0.886
0.451 0.916 0.451
0.451 0.182 0.916
0.364 0.636 0.364
0.334 0.799 0.068
0.451 0.451 0.916
0.916 0.182 0.451
0.451 0.451 0.182
0.068 0.334 0.799
0.125 0.625 0.125
0.625 0.125 0.125
0.799 0.799 0.334
0.614 0.886 0.886
0.125 0.125 0.125
0.125 0.125 0.625
0.068 0.799 0.334
0.451 0.182 0.451
0.886 0.614 0.614
0.636 0.364 0.364
0.636 0.636 0.364
0.636 0.364 0.636
0.799 0.799 0.068
0.451 0.916 0.182
0.182 0.451 0.451
0.799 0.334 0.799
0.614 0.614 0.886
0.916 0.451 0.182
0.916 0.451 0.451
0.625 0.625 0.625
0.625 0.625 0.125
0.125 0.625 0.625
0.625 0.125 0.625
0.000 0.000 0.000
0.250 0.250 0.250
```

Summary:
* formation energy from the elements: -4.724 kcal/mol of atoms
* crystal system: cubic



A plane-wave DFT calculation with meta-GGA SCAN was carried out for a crystal of YCdCu2 relaxed with PBEsol.

Structure (POSCAR):
```
YCdCu2
1.0
-0.812 -1.333 -2.933
1.432 -2.859 0.903
-5.576 -2.016 2.459
Cu Cd Y
2 1 1
direct
0.000 0.000 0.777
0.000 0.000 0.223
0.500 0.500 0.000
0.500 0.500 0.500
```

Summary:
* formation energy from the elements: -2.678 kcal/mol of atoms
* crystal system: tetragonal



A plane-wave DFT calculation with meta-GGA SCAN was carried out for a crystal of Sb2PBr relaxed with PBEsol.

Structure (POSCAR):
```
Sb2PBr
1.0
-1.623 -2.078 2.230
3.446 -0.205 -0.106
0.567 6.296 6.278
Sb Br P
2 1 1
direct
0.000 0.000 0.223
0.000 0.000 0.777
0.500 0.500 0.500
0.500 0.500 0.000
```

Summary:
* formation energy from raw total energies: 0.31 eV per atom
* crystal system: orthorhombic